The following is a PBE calculation of a relaxed structure of MgOsW2, from the Alexandria database.

Calculated values
Electronic total energy   -9.281 eV/atom
Formation energy   0.402 eV per atom

CIF file:
```
data_MgOsW2
_cell_length_a 3.041
_cell_length_b 4.558
_cell_length_c 9.385
_cell_angle_alpha 90.00
_cell_angle_beta 90.00
_cell_angle_gamma 90.00
_space_group_name_H-M_alt 'C m m m'
_space_group_IT_number 65
_space_group_name_Hall '-C 2 2'
loop_
_atom_site_label
_atom_site_fract_x
_atom_site_fract_y
_atom_site_fract_z
Mg1 0.000 0.000 0.000
Os1 0.000 0.000 0.500
W1 0.000 0.500 0.262
```



The following is a PBE calculation of a relaxed structure of LuThMgAl, from the Alexandria database.

Calculated values
Electronic total energy   -4.471 eV/atom
Formation energy   -0.151 eV per atom

CIF file:
```
data_LuThMgAl
_cell_length_a 7.386
_cell_length_b 7.386
_cell_length_c 7.386
_cell_angle_alpha 90.00
_cell_angle_beta 90.00
_cell_angle_gamma 90.00
_space_group_name_H-M_alt 'F -4 3 m'
_space_group_IT_number 216
_space_group_name_Hall 'F -4 2 3'
loop_
_atom_site_label
_atom_site_fract_x
_atom_site_fract_y
_atom_site_fract_z
Lu1 0.000 0.000 0.000
Th1 0.000 0.000 0.500
Mg1 0.250 0.250 0.250
Al1 0.250 0.250 0.750
```



The following is a PBE calculation of a relaxed structure of In2TcSn4, from the Alexandria database.

Calculated values
Electronic total energy   -4.310 eV/atom
Formation energy   0.241 eV per atom

CIF file:
```
data_In2TcSn4
_cell_length_a 5.015
_cell_length_b 5.015
_cell_length_c 17.995
_cell_angle_alpha 90.00
_cell_angle_beta 90.00
_cell_angle_gamma 90.00
_space_group_name_H-M_alt 'I 4/m m m'
_space_group_IT_number 139
_space_group_name_Hall '-I 4 2'
loop_
_atom_site_label
_atom_site_fract_x
_atom_site_fract_y
_atom_site_fract_z
In1 0.000 0.000 0.187
Tc1 0.000 0.000 0.500
Sn1 0.000 0.000 0.351
Sn2 0.000 0.500 0.000
```